## AlGaPb2F (meta-GGA SCAN)

Data for a crystal of AlGaPb2F relaxed with PBEsol.

The value obtained for the uncorrected formation energy is -0.304 eV/atom. The final energy is -180.72 eV per formula unit. As for the density of states at the Fermi level: 2.2 states/eV/cell.

Structure (CIF):
```
data_AlGaPb2F
_chemical_formula_sum 'Al1 Ga1 Pb2 F1'
_space_group_name_H-M_alt 'P 4/m m m'
_space_group_IT_number 123
_space_group_name_Hall '-P 4 2'
_cell_length_a 5.530
_cell_length_b 5.530
_cell_length_c 3.754
_cell_angle_alpha 90.00
_cell_angle_beta 90.00
_cell_angle_gamma 90.00
loop_
_atom_site_label
_atom_site_type_symbol
_atom_site_fract_x
_atom_site_fract_y
_atom_site_fract_z
_atom_site_occupancy
Al1 Al 0.000 0.000 0.000 1
Ga1 Ga 0.500 0.500 0.000 1
Pb1 Pb 0.000 0.500 0.500 1
F1 F 0.000 0.000 0.500 1
```

***

## CdCoTc2 (meta-GGA SCAN)

Data for a crystal of CdCoTc2 relaxed with PBEsol.

The final energy is -115.24 eV per formula unit. As for the density of states at the Fermi level: 2.9 states/eV/cell.

Structure (CIF):
```
data_CdCoTc2
_chemical_formula_sum 'Cd1 Co1 Tc2'
_space_group_name_H-M_alt 'P 4/m m m'
_space_group_IT_number 123
_space_group_name_Hall '-P 4 2'
_cell_length_a 4.323
_cell_length_b 4.323
_cell_length_c 3.060
_cell_angle_alpha 90.00
_cell_angle_beta 90.00
_cell_angle_gamma 90.00
loop_
_atom_site_label
_atom_site_type_symbol
_atom_site_fract_x
_atom_site_fract_y
_atom_site_fract_z
_atom_site_occupancy
Cd1 Cd 0.000 0.000 0.000 1
Co1 Co 0.500 0.500 0.000 1
Tc1 Tc 0.000 0.500 0.500 1
```